Below is crystalline SrSc2Ru at its relaxed geometry, with properties calculated at the PBE level.

a b c (Å): 3.3037 3.3037 32.6085
angles (deg): 90.00 90.00 120.00
Space group R-3m (No. 166, hexagonal axes)
One atom of each set of equivalent atoms:
Sr1 0.0000 0.0000 0.0000
Sc1 0.0000 0.0000 0.4292
Ru1 0.0000 0.0000 0.5000

Computed properties:
Excess energy over the best structure of this formula in the dataset = 751 meV/atom
Total magnetic moment = 0.00 μB per atom
ΔH_f (0 K) = 212 kJ/mol of formula units